A geometry-optimized LiLa2SbIr structure. Source: Alexandria via LeMat-Bulk, functional PBE-GGA.

Results
magnetic moment = 0.000 μB per formula unit
energy = -5.612 eV per atom

a b c (Å): 5.4918 5.4918 4.7989
angles (deg): 90.00 90.00 90.00
Space group P4/mmm (No. 123)
Symmetry-distinct sites (fractional):
Li1 0.0000 0.0000 0.0000 [1 per cell]
La1 0.0000 0.5000 0.5000 [2 per cell]
Sb1 0.5000 0.5000 0.0000 [1 per cell]
Ir1 0.0000 0.0000 0.5000 [1 per cell]

***

A geometry-optimized LiLa2Sb3Ir4 structure. Source: Alexandria via LeMat-Bulk, functional PBE-GGA.

Results
magnetic moment = 0.000 μB per formula unit
energy = -6.613 eV per atom

a b c (Å): 4.3291 4.3291 11.2873
angles (deg): 90.00 90.00 90.00
Space group P-4m2 (No. 115)
Symmetry-distinct sites (fractional):
Li1 0.0000 0.0000 0.0000 [1 per cell]
La1 0.0000 0.5000 0.7622 [2 per cell]
Sb1 0.0000 0.5000 0.3654 [2 per cell]
Sb2 0.5000 0.5000 0.0000 [1 per cell]
Ir1 0.0000 0.0000 0.5000 [1 per cell]
Ir2 0.0000 0.5000 0.1380 [2 per cell]
Ir3 0.5000 0.5000 0.5000 [1 per cell]

***

A geometry-optimized LiLa2Sb4Ir3 structure. Source: Alexandria via LeMat-Bulk, functional PBE-GGA.

Results
magnetic moment = 0.000 μB per formula unit
energy = -6.209 eV per atom

a b c (Å): 4.6320 4.6320 10.4971
angles (deg): 90.00 90.00 90.00
Space group P-4m2 (No. 115)
Symmetry-distinct sites (fractional):
Li1 0.0000 0.0000 0.0000 [1 per cell]
La1 0.0000 0.5000 0.7535 [2 per cell]
Sb1 0.0000 0.0000 0.5000 [1 per cell]
Sb2 0.0000 0.5000 0.1302 [2 per cell]
Sb3 0.5000 0.5000 0.5000 [1 per cell]
Ir1 0.0000 0.5000 0.3803 [2 per cell]
Ir2 0.5000 0.5000 0.0000 [1 per cell]

***

A geometry-optimized LiLa2ScIr structure. Source: Alexandria via LeMat-Bulk, functional PBE-GGA.

Results
calculated formation energy = -0.251 eV per atom
magnetic moment = 0.000 μB per formula unit

a b c (Å): 5.6659 5.6659 5.1601
angles (deg): 90.00 90.00 90.00
Space group P4/mmm (No. 123)
Symmetry-distinct sites (fractional):
Li1 0.0000 0.0000 0.0000 [1 per cell]
La1 0.0000 0.5000 0.5000 [2 per cell]
Sc1 0.5000 0.5000 0.0000 [1 per cell]
Ir1 0.5000 0.5000 0.5000 [1 per cell]

***

A geometry-optimized LiLaScIr structure. Source: Alexandria via LeMat-Bulk, functional PBE-GGA.

Results
calculated formation energy = -0.436 eV per atom
magnetic moment = 0.000 μB per formula unit

a b c (Å): 6.9576 6.9576 6.9576
angles (deg): 90.00 90.00 90.00
Space group F-43m (No. 216)
Symmetry-distinct sites (fractional):
Li1 0.0000 0.0000 0.0000 [4 per cell]
La1 0.2500 0.2500 0.2500 [4 per cell]
Sc1 0.2500 0.2500 0.7500 [4 per cell]
Ir1 0.0000 0.0000 0.5000 [4 per cell]

***

A geometry-optimized LiLa2Si4Ir3 structure. Source: Alexandria via LeMat-Bulk, functional PBE-GGA.

Results
magnetic moment = 0.000 μB per formula unit
energy = -6.899 eV per atom

a b c (Å): 4.2890 4.2890 9.7958
angles (deg): 90.00 90.00 90.00
Space group P-4m2 (No. 115)
Symmetry-distinct sites (fractional):
Li1 0.0000 0.0000 0.0000 [1 per cell]
La1 0.0000 0.5000 0.7468 [2 per cell]
Si1 0.0000 0.0000 0.5000 [1 per cell]
Si2 0.0000 0.5000 0.1288 [2 per cell]
Si3 0.5000 0.5000 0.5000 [1 per cell]
Ir1 0.0000 0.5000 0.3760 [2 per cell]
Ir2 0.5000 0.5000 0.0000 [1 per cell]

***

A geometry-optimized LiLaSi2Ir structure. Source: Alexandria via LeMat-Bulk, functional PBE-GGA.

Results
magnetic moment = 0.000 μB per formula unit
energy = -6.064 eV per atom

a b c (Å): 4.2149 4.2149 10.0696
angles (deg): 90.00 90.00 90.00
Space group I-4m2 (No. 119)
Symmetry-distinct sites (fractional):
Li1 0.0000 0.0000 0.0000 [2 per cell]
La1 0.0000 0.5000 0.2500 [2 per cell]
Si1 0.0000 0.5000 0.6256 [4 per cell]
Ir1 0.0000 0.0000 0.5000 [2 per cell]

***

A geometry-optimized LiLa2Si3Ir4 structure. Source: Alexandria via LeMat-Bulk, functional PBE-GGA.

Results
magnetic moment = 0.000 μB per formula unit
energy = -7.283 eV per atom

a b c (Å): 4.1493 4.1493 10.2959
angles (deg): 90.00 90.00 90.00
Space group P-4m2 (No. 115)
Symmetry-distinct sites (fractional):
Li1 0.0000 0.0000 0.0000 [1 per cell]
La1 0.0000 0.5000 0.7570 [2 per cell]
Si1 0.0000 0.5000 0.3760 [2 per cell]
Si2 0.5000 0.5000 0.0000 [1 per cell]
Ir1 0.0000 0.0000 0.5000 [1 per cell]
Ir2 0.0000 0.5000 0.1369 [2 per cell]
Ir3 0.5000 0.5000 0.5000 [1 per cell]

***

A geometry-optimized LiLaSmIr structure. Source: Alexandria via LeMat-Bulk, functional PBE-GGA.

Results
calculated formation energy = -0.408 eV per atom
magnetic moment = 0.000 μB per formula unit

a b c (Å): 7.2148 7.2148 7.2148
angles (deg): 90.00 90.00 90.00
Space group F-43m (No. 216)
Symmetry-distinct sites (fractional):
Li1 0.0000 0.0000 0.0000 [4 per cell]
La1 0.2500 0.2500 0.2500 [4 per cell]
Sm1 0.2500 0.2500 0.7500 [4 per cell]
Ir1 0.0000 0.0000 0.5000 [4 per cell]

***

A geometry-optimized LiLaSnIr structure. Source: Alexandria via LeMat-Bulk, functional PBE-GGA.

Results
calculated formation energy = -0.552 eV per atom
magnetic moment = 0.000 μB per formula unit

a b c (Å): 6.9090 6.9090 6.9090
angles (deg): 90.00 90.00 90.00
Space group F-43m (No. 216)
Symmetry-distinct sites (fractional):
Li1 0.0000 0.0000 0.0000 [4 per cell]
La1 0.2500 0.2500 0.2500 [4 per cell]
Sn1 0.2500 0.2500 0.7500 [4 per cell]
Ir1 0.0000 0.0000 0.5000 [4 per cell]

***

A geometry-optimized LiLa2SnIr structure. Source: Alexandria via LeMat-Bulk, functional PBE-GGA.

Results
calculated formation energy = -0.494 eV per atom
magnetic moment = 0.000 μB per formula unit

a b c (Å): 5.5241 5.5241 4.7827
angles (deg): 90.00 90.00 90.00
Space group P4/mmm (No. 123)
Symmetry-distinct sites (fractional):
Li1 0.0000 0.0000 0.0000 [1 per cell]
La1 0.0000 0.5000 0.5000 [2 per cell]
Sn1 0.5000 0.5000 0.0000 [1 per cell]
Ir1 0.0000 0.0000 0.5000 [1 per cell]

***

A geometry-optimized Li2LaSnIr structure. Source: Alexandria via LeMat-Bulk, functional PBE-GGA.

Results
calculated formation energy = -0.192 eV per atom
magnetic moment = 0.000 μB per formula unit

a b c (Å): 4.7968 4.7968 5.0533
angles (deg): 90.00 90.00 90.00
Space group P4/mmm (No. 123)
Symmetry-distinct sites (fractional):
Li1 0.0000 0.5000 0.0000 [2 per cell]
La1 0.0000 0.0000 0.5000 [1 per cell]
Sn1 0.5000 0.5000 0.5000 [1 per cell]
Ir1 0.5000 0.5000 0.0000 [1 per cell]